Below is a geometry-optimized AlB structure, with properties calculated at the PBE level.

Properties
DFT formation energy in eV/f.u.: 0.542
Volume in Å³ per atom: 14.4
DFT total energy in eV/atom: -4.939
Spin magnetization in μB per cell: 0.00

Lattice parameters (Å, degrees): 5.7533 5.7533 3.4768 90.00 90.00 90.00
Positions (direct):
1 Al 0.7490 0.7490 0.0000
2 Al 0.7510 0.2490 0.5000
3 Al 0.2490 0.7510 0.5000
4 Al 0.2510 0.2510 0.0000
5 B 0.9010 0.9010 0.5000
6 B 0.4010 0.5990 0.0000
7 B 0.0990 0.0990 0.5000
8 B 0.5990 0.4010 0.0000